Density functional theory data (PBE-GGA) for an optimized crystal structure of CeAl2Pt2.

The structure in POSCAR format:
```
CeAl2Pt2
1.0
4.140 0.000 0.000
0.000 4.140 0.000
-2.070 -2.070 5.624
Pt Al Ce
2 2 1
Direct
0.620 0.620 0.241
0.380 0.380 0.759
0.750 0.250 0.500
0.250 0.750 0.500
0.000 0.000 0.000
```

Results
E_form: -1.082 eV per atom
Space group: I4/mmm